Record 1
## SrLiSc2Os (PBE)

Data for SrLiSc2Os after structural relaxation.

Crystal system: tetragonal
Spin magnetization: 0.0000 μB/atom
D(E_F): 0.593 states/eV/atom
Final energy: -27.1 eV for the cell shown

Cell: 5.0051 5.0051 5.4210 Å, 90.00 90.00 90.00°
Closest atoms and distances in Å follow each position.
Positions (direct):
Sr 0.0000 0.0000 0.0000  4 Li 3.54, 8 Sc 3.69
Li 0.5000 0.5000 0.0000  2 Os 2.71
Sc 0.0000 0.5000 0.5000  2 Os 2.50
Sc 0.5000 0.0000 0.5000  2 Os 2.50
Os 0.5000 0.5000 0.5000  4 Sc 2.50, 2 Li 2.71



Record 2
## Li2ScTlOs (PBE)

Data for Li2ScTlOs after structural relaxation.

Crystal system: tetragonal
Spin magnetization: 0.0000 μB/atom
D(E_F): 0.941 states/eV/atom
Final energy: -20.1 eV for the cell shown

Cell: 4.6072 4.6072 5.1704 Å, 90.00 90.00 90.00°
Closest atoms and distances in Å follow each position.
Positions (direct):
Li 0.0000 0.5000 0.0000  2 Os 2.30
Li 0.5000 0.0000 0.0000  2 Os 2.30
Sc 0.0000 0.0000 0.5000  4 Tl 3.26, 8 Li 3.46
Tl 0.5000 0.5000 0.5000  2 Os 2.59
Os 0.5000 0.5000 0.0000  4 Li 2.30



Record 3
## LiScVOs2 (PBE)

Data for LiScVOs2 after structural relaxation.

Crystal system: tetragonal
Spin magnetization: 0.0000 μB/atom
D(E_F): 1.005 states/eV/atom
Final energy: -35.1 eV for the cell shown

Cell: 4.5056 4.5056 4.8263 Å, 90.00 90.00 90.00°
Closest atoms and distances in Å follow each position.
Positions (direct):
Li 0.0000 0.0000 0.0000  4 Sc 3.19, 8 Os 3.30
Sc 0.5000 0.5000 0.0000  2 V 2.41
V 0.5000 0.5000 0.5000  4 Os 2.25, 2 Sc 2.41
Os 0.0000 0.5000 0.5000  2 V 2.25
Os 0.5000 0.0000 0.5000  2 V 2.25



Record 4
## LiYScOs (PBE)

Data for LiYScOs after structural relaxation.

Crystal system: cubic
Spin magnetization: 0.0000 μB/atom
D(E_F): 0.838 states/eV/atom
Final energy: -26.9 eV for the cell shown

Cell: 4.7683 4.7683 4.7683 Å, 60.00 60.00 60.00°
Closest atoms and distances in Å follow each position.
Positions (direct):
Li 0.0000 0.0000 0.0000  4 Sc 2.92, 4 Y 2.92
Y 0.2500 0.2500 0.2500  4 Li 2.92, 4 Os 2.92
Sc 0.7500 0.7500 0.7500  4 Li 2.92, 4 Os 2.92
Os 0.5000 0.5000 0.5000  4 Sc 2.92, 4 Y 2.92



Record 5
## LiY2ScOs (PBE)

Data for LiY2ScOs after structural relaxation.

Crystal system: tetragonal
Spin magnetization: 0.0003 μB/atom
D(E_F): 1.709 states/eV/atom
Final energy: -27.6 eV for the cell shown

Cell: 4.9522 4.9522 4.5745 Å, 90.00 90.00 90.00°
Closest atoms and distances in Å follow each position.
Positions (direct):
Li 0.0000 0.0000 0.0000  2 Sc 2.29, 4 Y 2.48
Y 0.0000 0.5000 0.0000  2 Li 2.48
Y 0.5000 0.0000 0.0000  2 Li 2.48
Sc 0.0000 0.0000 0.5000  2 Li 2.29
Os 0.5000 0.5000 0.5000  8 Y 3.37, 4 Sc 3.50



Record 6
## LiScZnOs (PBE)

Data for LiScZnOs after structural relaxation.

Crystal system: cubic
Spin magnetization: 0.0000 μB/atom
D(E_F): 0.179 states/eV/atom
Final energy: -21.2 eV for the cell shown

Cell: 4.4634 4.4634 4.4634 Å, 60.00 60.00 60.00°
Closest atoms and distances in Å follow each position.
Positions (direct):
Li 0.0000 0.0000 0.0000  4 Sc 2.73, 4 Zn 2.73
Sc 0.7500 0.7500 0.7500  4 Li 2.73, 4 Os 2.73
Zn 0.2500 0.2500 0.2500  4 Os 2.73, 4 Li 2.73
Os 0.5000 0.5000 0.5000  4 Sc 2.73, 4 Zn 2.73